SrCuC3 | PBE | relaxed

## Properties
Calculated density ... 4.71 Mg/m³
V ... 66.0 Å³ per cell
Formation enthalpy at 0 K ... 2.011 eV per atom

a b c (Å): 4.042 4.042 4.042
angles (deg): 90.00 90.00 90.00
Fractional coordinates of all 5 atoms:
Sr 0.000 0.000 0.000
Cu 0.500 0.500 0.500
C 0.000 0.500 0.500
C 0.500 0.000 0.500
C 0.500 0.500 0.000